[1]
The following is a DFT calculation (PBE) of a geometry-optimized Nd5Dy2Ga5 structure.

a b c (Å): 6.377 6.377 13.420
angles (deg): 113.04 113.04 42.43
Fractional coordinates of all 12 atoms:
Nd  0.000  0.000  0.000
Nd  0.165  0.165  0.531
Nd  0.225  0.225  0.811
Nd  0.775  0.775  0.189
Nd  0.835  0.835  0.469
Dy  0.479  0.479  0.716
Dy  0.521  0.521  0.284
Ga  0.184  0.184  0.293
Ga  0.323  0.323  0.056
Ga  0.500  0.500  0.500
Ga  0.677  0.677  0.944
Ga  0.816  0.816  0.707

Computed properties:
- DFT total energy: -4.40 eV/atom
- Mass density: 6.9 g/cm³
- Formation energy: -0.3808 eV/atom
- Total magnetic moment: 0.0 μB/f.u.

---

[2]
The following is a DFT calculation (PBE) of a geometry-optimized La5Ga2Ru structure.

a b c (Å): 8.120 12.179 4.768
angles (deg): 90.00 90.00 90.00
Fractional coordinates of all 16 atoms:
La  0.000  0.000  0.000
La  0.143  0.296  0.000
La  0.186  0.574  0.500
La  0.314  0.074  0.500
La  0.357  0.796  0.000
La  0.500  0.500  0.000
La  0.643  0.204  0.000
La  0.686  0.926  0.500
La  0.814  0.426  0.500
La  0.857  0.704  0.000
Ga  0.072  0.834  0.500
Ga  0.428  0.334  0.500
Ga  0.572  0.666  0.500
Ga  0.928  0.166  0.500
Ru  0.000  0.500  0.000
Ru  0.500  0.000  0.000

Computed properties:
- DFT total energy: -5.43 eV/atom
- Mass density: 6.6 g/cm³
- Formation energy: -0.4322 eV/atom
- Total magnetic moment: 0.0 μB/f.u.

---

[3]
The following is a DFT calculation (PBE) of a geometry-optimized YGeIrS2 structure.

a b c (Å): 5.060 5.060 5.659
angles (deg): 90.00 90.00 90.00
Fractional coordinates of all 5 atoms:
Y  0.000  0.000  0.000
Ge  0.000  0.000  0.500
Ir  0.500  0.500  0.500
S  0.000  0.500  0.000
S  0.500  0.000  0.000

Computed properties:
- DFT total energy: -4.71 eV/atom
- Mass density: 4.8 g/cm³
- Total magnetic moment: 2.5 μB/f.u.

---

Q: Which formula does entry 2 have?
A: La5Ga2Ru

---

Q: Among the records above, which one has the lowest mass density?
A: YGeIrS2

---

Q: The highest total magnetic moment belongs to which entry?
A: YGeIrS2